A plane-wave DFT calculation with GGA-PBE was carried out for a geometry-optimized Fe4Pd4Pt structure.

Computed properties:
Formation enthalpy at 0 K   -0.07 eV/atom
ρ   11047 kg/m³
Total magnetic moment   13.1 Bohr magnetons per cell
E   -6.81 eV/atom

Cell lengths 6.0391, 6.0391, 6.0391 Å; angles 95.92, 95.92, 142.53 degrees
Closest atoms and distances in Å follow each position.
Sites, in units of the cell vectors:
Fe  0.0000  0.3407  0.3407  5 Fe 2.58-2.66, 6 Pd 2.67-2.75, 1 Pt 2.76
Fe  0.0000  0.6593  0.6593  5 Fe 2.58-2.66, 6 Pd 2.67-2.75, 1 Pt 2.76
Fe  0.3407  0.0000  0.3407  5 Fe 2.58-2.66, 6 Pd 2.67-2.75, 1 Pt 2.76
Fe  0.6593  0.0000  0.6593  5 Fe 2.58-2.66, 6 Pd 2.67-2.75, 1 Pt 2.76
Pd  0.3303  0.3303  0.6607  4 Pd 2.67-2.74, 6 Fe 2.67-2.75, 2 Pt 2.74
Pd  0.3303  0.6697  0.0000  4 Pd 2.67-2.74, 6 Fe 2.67-2.75, 2 Pt 2.74
Pd  0.6697  0.3303  0.0000  4 Pd 2.67-2.74, 6 Fe 2.67-2.75, 2 Pt 2.74
Pd  0.6697  0.6697  0.3393  4 Pd 2.67-2.74, 6 Fe 2.67-2.75, 2 Pt 2.74
Pt  0.0000  0.0000  0.0000  8 Pd 2.74, 4 Fe 2.76

=====

A plane-wave DFT calculation with GGA-PBE was carried out for a geometry-optimized FePd4Pt2 structure.

Computed properties:
Formation enthalpy at 0 K   0.70 eV/atom
ΔE to the lowest computed polymorph   669 meV/atom
ρ   10787 kg/m³
Total magnetic moment   4.1 Bohr magnetons per cell
E   -5.20 eV/atom

Cell lengths 7.1203, 7.1203, 7.1203 Å; angles 142.28, 142.28, 54.40 degrees
Closest atoms and distances in Å follow each position.
Sites, in units of the cell vectors:
Fe  0.0000  0.0000  0.0000  6 Pd 2.30-2.35
Pd  0.0000  0.5000  0.5000  2 Fe 2.30
Pd  0.1859  0.1859  0.0000  1 Fe 2.35, 1 Pt 2.58
Pd  0.5000  0.0000  0.5000  2 Fe 2.30
Pd  0.8141  0.8141  0.0000  1 Fe 2.35, 1 Pt 2.58
Pt  0.3896  0.3896  0.0000  5 Pd 2.58-2.69, 1 Pt 2.80
Pt  0.6104  0.6104  0.0000  5 Pd 2.58-2.69, 1 Pt 2.80

=====

A plane-wave DFT calculation with GGA-PBE was carried out for a geometry-optimized FeRePd2Pt structure.

Computed properties:
Formation enthalpy at 0 K   1.79 eV/atom
ρ   9999 kg/m³
Total magnetic moment   8.0 Bohr magnetons per cell
E   -5.67 eV/atom

Cell lengths 4.8867, 4.8867, 4.5202 Å; angles 90.00, 90.00, 90.00 degrees
Closest atoms and distances in Å follow each position.
Sites, in units of the cell vectors:
Fe  0.0000  0.0000  0.0000  2 Pt 2.26
Re  0.5000  0.5000  0.0000  8 Pd 3.33, 4 Fe 3.46
Pd  0.0000  0.5000  0.5000  2 Pt 2.44
Pd  0.5000  0.0000  0.5000  2 Pt 2.44
Pt  0.0000  0.0000  0.5000  2 Fe 2.26, 4 Pd 2.44